No. 1
Compound: TbCe2Tc
Source: Alexandria via LeMat-Bulk
Functional: PBE
Structure: relaxed

extended XYZ file:
```
8
Lattice="5.953 0.000 -2.705 0.000 6.038 0.000 -0.719 0.000 6.321" Properties=species:S:1:pos:R:3 pbc="T T T"
Tb 3.740 5.285 -1.700
Tb 2.213 2.266 -1.005
Ce 5.445 5.283 1.349
Ce -0.211 2.264 2.267
Ce 3.388 2.264 2.284
Ce 1.846 5.283 1.332
Tc 0.000 0.755 0.000
Tc 5.953 3.775 -2.705
```

Computed properties:
The value obtained for the formation energy is -3.57 kJ per mole of atoms. The space group is Cmcm. As for the total magnetization: 1.2 Bohr magnetons per cell. The calculated total energy comes out at -6.75 eV per atom. The volume is 26.9 Å³/atom.

No. 2
Compound: PuSnBi
Source: Alexandria via LeMat-Bulk
Functional: PBE
Structure: relaxed

extended XYZ file:
```
3
Lattice="3.278 0.000 0.000 0.000 3.278 0.000 -1.639 -1.639 8.043" Properties=species:S:1:pos:R:3 pbc="T T T"
Bi 0.000 0.000 5.170
Sn 0.000 0.000 0.238
Pu 1.639 1.639 2.636
```

Computed properties:
The value obtained for the formation energy is -9.37 kJ per mole of atoms. The space group is I4mm. As for the total magnetization: 5.7 Bohr magnetons per cell. The calculated total energy comes out at -7.50 eV per atom. The volume is 28.8 Å³/atom.

No. 3
Compound: Ce4InSb
Source: Alexandria via LeMat-Bulk
Functional: PBE
Structure: relaxed

extended XYZ file:
```
12
Lattice="-5.302 -1.391 1.162 1.973 -7.337 0.224 3.828 3.004 7.551" Properties=species:S:1:pos:R:3 pbc="T T T"
Ce 0.585 1.571 7.187
Ce -2.108 -3.898 1.866
Ce -0.085 -7.294 1.751
Ce 2.608 -1.825 7.072
Ce 4.179 -4.698 5.516
Ce 0.419 -3.877 2.851
Ce -3.680 -1.025 3.422
Ce 0.081 -1.846 6.086
In -0.737 0.807 4.357
In 2.901 -2.166 3.888
Sb -3.352 -6.770 1.227
Sb 0.023 -1.958 0.159
```

Computed properties:
The space group is C2/c. As for the total magnetization: 5.5 Bohr magnetons per cell. The calculated total energy comes out at -5.42 eV per atom. The volume is 29.7 Å³/atom. The value obtained for the energy relative to the elements, uncorrected is -0.321 eV per atom.

No. 4
Compound: Sm6HoTl6
Source: Alexandria via LeMat-Bulk
Functional: PBE
Structure: relaxed

extended XYZ file:
```
13
Lattice="-1.145 5.243 3.679 3.542 -4.921 2.361 8.977 4.633 -3.809" Properties=species:S:1:pos:R:3 pbc="T T T"
Sm 5.997 3.095 -2.544
Sm 2.980 1.538 -1.264
Sm 1.979 -1.533 2.800
Sm 0.417 1.855 3.240
Sm 6.468 0.784 0.896
Sm 4.906 4.171 1.335
Ho 0.000 0.000 0.000
Tl 8.533 1.029 -1.689
Tl 6.190 6.111 -1.029
Tl 7.961 3.651 0.151
Tl 1.643 3.765 0.900
Tl 3.986 -1.317 0.241
Tl 3.413 1.304 2.080
```

Computed properties:
The value obtained for the formation energy is -19.03 kJ per mole of atoms. The space group is P6/mmm. As for the total magnetization: 1.6 Bohr magnetons per cell. The calculated total energy comes out at -3.82 eV per atom. The volume is 30.4 Å³/atom.

No. 5
Compound: BaMgZn2Pt
Source: Alexandria via LeMat-Bulk
Functional: PBE
Structure: relaxed

extended XYZ file:
```
5
Lattice="-3.701 2.614 -2.114 1.923 -0.933 -4.520 -2.776 -4.187 -0.316" Properties=species:S:1:pos:R:3 pbc="T T T"
Mg -1.388 -2.093 -0.158
Zn 0.961 -0.467 -2.260
Zn -1.851 1.307 -1.057
Ba -2.277 -1.253 -3.475
Pt 0.000 0.000 0.000
```

Computed properties:
The value obtained for the formation energy is -41.88 kJ per mole of atoms. The space group is P4/mmm. As for the total magnetization: 0.0 Bohr magnetons per cell. The calculated total energy comes out at -2.86 eV per atom. The volume is 25.2 Å³/atom.

No. 6
Compound: Li6ThPd12
Source: Alexandria via LeMat-Bulk
Functional: PBE
Structure: relaxed

extended XYZ file:
```
19
Lattice="7.228 -0.609 -0.729 -1.697 7.052 -0.729 -1.697 -1.978 6.808" Properties=species:S:1:pos:R:3 pbc="T T T"
Li 2.750 4.267 1.391
Li 3.650 1.656 0.903
Li 0.032 3.698 1.790
Li 1.083 0.198 3.958
Li 0.182 2.810 4.447
Li 3.801 0.768 3.559
Th 0.000 0.000 0.000
Pd 4.970 3.109 2.657
Pd 1.281 5.224 3.534
Pd 2.320 1.652 5.772
Pd -1.137 1.356 2.693
Pd 2.552 -0.759 1.816
Pd 1.513 2.813 -0.422
Pd -1.798 5.650 1.607
Pd -2.024 2.720 5.968
Pd 2.995 6.156 -0.497
Pd 5.630 -1.185 3.743
Pd 5.857 1.745 -0.618
Pd 0.837 -1.690 5.846
```

Computed properties:
The value obtained for the formation energy is -33.37 kJ per mole of atoms. The space group is R-3. As for the total magnetization: 0.0 Bohr magnetons per cell. The calculated total energy comes out at -4.62 eV per atom. The volume is 16.7 Å³/atom.

No. 7
Compound: Ag8TeS6
Source: Alexandria via LeMat-Bulk
Functional: PBE
Structure: relaxed

extended XYZ file:
```
15
Lattice="6.805 -0.465 -0.481 -0.677 6.787 -0.481 -0.677 -0.699 6.768" Properties=species:S:1:pos:R:3 pbc="T T T"
Ag 3.579 3.692 3.813
Ag 1.872 1.931 1.994
Ag 3.802 4.858 -0.023
Ag 4.737 -0.150 3.949
Ag -0.298 3.795 4.854
Ag 1.649 0.766 5.830
Ag 0.714 5.773 1.859
Ag 5.748 1.829 0.953
Te 0.000 0.000 0.000
S 3.899 1.938 5.609
S 1.815 5.479 4.136
S 5.420 4.070 2.117
S 1.552 3.686 0.198
S 3.636 0.144 1.671
S 0.031 1.553 3.690
```

Computed properties:
The space group is R-3. As for the total magnetization: 0.0 Bohr magnetons per cell. The calculated total energy comes out at -3.28 eV per atom. The volume is 20.4 Å³/atom. The value obtained for the energy relative to the elements, uncorrected is 0.098 eV per atom.

No. 8
Compound: Dy2ErAg
Source: Alexandria via LeMat-Bulk
Functional: PBE
Structure: relaxed

extended XYZ file:
```
4
Lattice="-1.370 -1.546 -2.886 3.207 -0.003 -1.521 1.643 -7.953 3.479" Properties=species:S:1:pos:R:3 pbc="T T T"
Dy 1.286 -6.225 2.723
Dy 0.357 -1.728 0.756
Ag 0.918 -0.774 -2.203
Er 1.740 -4.751 -0.464
```

Computed properties:
The value obtained for the formation energy is -12.40 kJ per mole of atoms. The space group is P4/mmm. As for the total magnetization: 0.0 Bohr magnetons per cell. The calculated total energy comes out at -4.28 eV per atom. The volume is 27.8 Å³/atom.

No. 9
Compound: Dy2MgCu9
Source: Alexandria via LeMat-Bulk
Functional: PBE
Structure: relaxed

extended XYZ file:
```
12
Lattice="-3.127 -3.216 -2.402 -2.798 -3.302 2.675 -8.082 3.400 0.581" Properties=species:S:1:pos:R:3 pbc="T T T"
Dy -8.432 -4.229 0.474
Dy -5.574 1.112 0.380
Mg 0.000 0.000 0.000
Cu -12.021 -0.955 0.762
Cu -1.985 -2.163 0.092
Cu -7.003 -1.559 0.427
Cu -4.451 -1.893 0.256
Cu -6.020 -3.507 -0.949
Cu -5.855 -3.550 1.599
Cu -9.556 -1.225 0.598
Cu -8.152 0.433 -0.744
Cu -7.986 0.389 1.804
```

Computed properties:
The value obtained for the formation energy is -13.57 kJ per mole of atoms. The space group is R-3m. As for the total magnetization: 0.0 Bohr magnetons per cell. The calculated total energy comes out at -4.11 eV per atom. The volume is 15.5 Å³/atom.

No. 10
Compound: Be2V2Mo
Source: Alexandria via LeMat-Bulk
Functional: PBE
Structure: relaxed

extended XYZ file:
```
5
Lattice="3.581 0.000 0.000 0.000 3.581 0.000 1.791 1.791 5.068" Properties=species:S:1:pos:R:3 pbc="T T T"
Be 3.581 1.791 2.534
Be 1.791 3.581 2.534
Mo 0.000 0.000 0.000
V 1.791 1.791 0.980
V 3.581 3.581 4.088
```

Computed properties:
The value obtained for the formation energy is 57.65 kJ per mole of atoms. The space group is I4/mmm. As for the total magnetization: 0.0 Bohr magnetons per cell. The calculated total energy comes out at -6.71 eV per atom. The volume is 13.0 Å³/atom.

No. 11
Compound: Dy6YCo3
Source: Alexandria via LeMat-Bulk
Functional: PBE
Structure: relaxed

extended XYZ file:
```
20
Lattice="-1.838 6.976 0.191 -2.889 -0.975 7.787 7.714 1.962 2.567" Properties=species:S:1:pos:R:3 pbc="T T T"
Dy 3.359 1.046 7.395
Dy 2.428 4.530 7.496
Dy -1.993 1.595 3.954
Dy 2.391 6.552 1.439
Dy -3.436 1.104 7.844
Dy 3.186 4.815 4.405
Dy 0.540 0.339 6.064
Dy 6.246 7.529 2.720
Dy 0.416 2.088 9.125
Dy 4.800 7.045 6.610
Dy 1.298 0.624 2.972
Dy 0.367 4.109 3.074
Y 4.323 1.392 4.201
Y -0.599 3.770 6.268
Co 4.699 5.266 2.260
Co -2.031 -0.341 5.930
Co 1.860 2.579 5.236
Co 0.946 6.068 5.329
Co -0.969 -0.123 8.208
Co 5.760 5.483 4.538
```

Computed properties:
The value obtained for the formation energy is -4.87 kJ per mole of atoms. The space group is Cmc2_1. As for the total magnetization: 0.0 Bohr magnetons per cell. The calculated total energy comes out at -5.59 eV per atom. The volume is 25.2 Å³/atom.

No. 12
Compound: Ho2Tm2Al3
Source: Alexandria via LeMat-Bulk
Functional: PBE
Structure: relaxed

extended XYZ file:
```
7
Lattice="0.200 -1.097 3.327 1.150 -3.141 -1.105 13.250 4.016 2.380" Properties=species:S:1:pos:R:3 pbc="T T T"
Ho 8.831 0.128 3.213
Ho 5.769 -0.351 1.388
Tm 12.240 1.312 3.399
Tm 2.360 -1.535 1.203
Al 3.588 0.079 3.511
Al 0.000 0.000 0.000
Al 9.862 2.839 2.195
```

Computed properties:
The value obtained for the formation energy is -27.08 kJ per mole of atoms. The space group is Cmmm. As for the total magnetization: 0.0 Bohr magnetons per cell. The calculated total energy comes out at -4.47 eV per atom. The volume is 24.6 Å³/atom.

No. 13
Compound: B10H13Br
Source: Alexandria via LeMat-Bulk
Functional: PBE
Structure: relaxed

extended XYZ file:
```
96
Lattice="7.843 0.000 0.000 0.000 11.423 0.020 0.000 -5.376 11.568" Properties=species:S:1:pos:R:3 pbc="T T T"
B 1.164 -2.511 9.911
B 5.085 2.846 1.666
B 6.679 8.558 1.676
B 2.757 3.201 9.921
B 0.185 -2.738 8.447
B 4.106 3.073 3.131
B 7.658 8.785 3.141
B 3.737 2.974 8.456
B 1.836 -2.105 8.322
B 5.757 2.440 3.255
B 6.007 8.152 3.265
B 2.086 3.606 8.332
B 2.918 -2.598 9.637
B 6.839 2.933 1.940
B 4.925 8.645 1.950
B 1.004 3.113 9.647
B 0.241 -3.988 9.733
B 4.163 4.323 1.845
B 7.601 10.035 1.854
B 3.680 1.724 9.743
B 0.151 7.023 8.019
B 4.072 4.735 3.578
B 7.692 -0.977 3.568
B 3.770 1.312 8.009
B 1.326 -3.330 7.189
B 5.247 3.665 4.388
B 6.517 9.377 4.398
B 2.595 2.381 7.199
B 3.127 -3.238 7.979
B 7.048 3.573 3.598
B 4.716 9.285 3.608
B 0.795 2.474 7.989
B 3.425 -4.230 9.430
B 7.347 4.565 2.148
B 4.417 10.277 2.158
B 0.496 1.482 9.439
B 2.045 -3.897 10.513
B 5.967 4.232 1.065
B 5.798 9.944 1.075
B 1.876 1.814 10.522
H 0.749 -1.773 10.754
H 4.671 2.108 0.824
H 7.094 7.820 0.834
H 3.172 3.938 10.763
H 7.083 -2.046 8.223
H 3.162 2.382 3.354
H 0.760 8.093 3.364
H 4.681 3.665 8.233
H 1.974 -1.023 7.828
H 5.895 1.358 3.750
H 5.869 7.070 3.760
H 1.948 4.689 7.837
H 3.646 -1.805 10.150
H 7.568 2.140 1.427
H 4.197 7.852 1.437
H 0.275 3.907 10.160
H 7.187 -4.303 10.450
H 3.266 4.638 1.128
H 0.656 10.349 1.137
H 4.577 1.409 10.460
H 1.237 8.265 6.035
H 5.158 3.493 5.562
H 6.606 -2.218 5.553
H 2.685 2.554 6.025
H 4.018 -3.002 7.225
H 0.096 3.337 4.353
H 3.825 9.049 4.362
H 7.747 2.710 7.235
H 4.443 6.653 9.746
H 0.521 5.106 1.851
H 3.400 -0.606 1.842
H 7.321 0.941 9.736
H 2.132 1.215 0.104
H 6.054 -0.880 11.474
H 5.710 4.832 11.484
H 1.789 6.926 0.113
H 0.579 6.333 9.112
H 4.501 5.426 2.485
H 7.264 -0.286 2.475
H 3.342 0.621 9.103
H 1.334 6.789 7.381
H 5.256 4.969 4.216
H 6.509 -0.742 4.206
H 2.587 1.078 7.372
H 3.184 6.869 8.170
H 7.105 4.890 3.427
H 4.659 -0.822 3.417
H 0.737 1.157 8.160
H 2.433 6.417 9.911
H 6.354 5.341 1.686
H 5.410 -0.371 1.676
H 1.489 0.706 9.902
Br 6.624 5.975 7.147
Br 2.702 5.784 4.450
Br 1.219 0.072 4.441
Br 5.141 0.263 7.137
```

Computed properties:
The space group is P2_1/c. As for the total magnetization: 0.0 Bohr magnetons per cell. The calculated total energy comes out at -4.80 eV per atom. The volume is 10.8 Å³/atom.

No. 14
Compound: Si2PRu
Source: Alexandria via LeMat-Bulk
Functional: PBE
Structure: relaxed

extended XYZ file:
```
4
Lattice="-0.796 -3.824 -1.689 -0.762 -1.605 3.992 -3.766 -0.190 2.205" Properties=species:S:1:pos:R:3 pbc="T T T"
P -2.506 -0.993 3.430
Ru -3.582 -3.174 3.514
Si -3.939 -1.562 5.392
Si -2.087 -2.581 1.467
```

Computed properties:
The space group is Amm2. As for the total magnetization: 0.0 Bohr magnetons per cell. The calculated total energy comes out at -6.61 eV per atom. The volume is 15.8 Å³/atom. The value obtained for the energy relative to the elements, uncorrected is -0.226 eV per atom.

No. 15
Compound: Mg14AlSb
Source: Alexandria via LeMat-Bulk
Functional: PBE
Structure: relaxed

extended XYZ file:
```
16
Lattice="-5.936 -1.701 -1.576 4.357 -4.484 1.231 -2.671 0.128 9.924" Properties=species:S:1:pos:R:3 pbc="T T T"
Mg -4.230 -2.162 -1.111
Mg 0.911 -3.552 0.291
Mg -2.598 -1.247 4.639
Mg -1.251 -1.321 -0.320
Mg -3.387 -4.340 4.467
Mg -2.037 -4.402 -0.491
Mg -0.212 -1.719 2.675
Mg -1.523 -1.656 7.547
Mg -1.015 -4.864 2.499
Mg -2.326 -4.801 7.371
Mg -3.200 -2.592 1.881
Mg -4.512 -2.529 6.754
Mg 1.990 -3.991 3.226
Mg 0.643 -3.927 8.230
Al -5.528 -2.108 3.862
Sb -0.384 -3.499 5.264
```

Computed properties:
The space group is Amm2. As for the total magnetization: 0.0 Bohr magnetons per cell. The calculated total energy comes out at -1.91 eV per atom. The volume is 22.6 Å³/atom. The value obtained for the energy relative to the elements, uncorrected is -0.022 eV per atom.

No. 16
Compound: Ga8Co3Rh2
Source: Alexandria via LeMat-Bulk
Functional: PBE
Structure: relaxed

extended XYZ file:
```
13
Lattice="4.082 0.000 0.000 0.000 7.039 -4.046 0.000 -0.586 7.130" Properties=species:S:1:pos:R:3 pbc="T T T"
Ga 0.000 4.181 -0.868
Ga 4.082 2.273 3.951
Ga 4.082 0.737 1.278
Ga 0.000 5.716 1.805
Ga 2.041 3.918 2.940
Ga 2.041 0.570 4.869
Ga 2.041 5.884 -1.785
Ga 2.041 2.535 0.144
Co 2.041 0.000 0.000
Co 0.000 1.097 6.160
Co 0.000 5.357 -3.077
Rh 2.041 1.438 2.510
Rh 2.041 5.015 0.573
```

Computed properties:
The value obtained for the formation energy is -34.23 kJ per mole of atoms. The space group is P2/m. As for the total magnetization: 0.0 Bohr magnetons per cell. The calculated total energy comes out at -4.99 eV per atom. The volume is 15.0 Å³/atom.

No. 17
Compound: La3ZnB
Source: Alexandria via LeMat-Bulk
Functional: PBE
Structure: relaxed

extended XYZ file:
```
5
Lattice="-3.483 3.987 -0.015 -3.984 -3.480 0.226 0.161 0.160 5.290" Properties=species:S:1:pos:R:3 pbc="T T T"
Zn -3.653 0.334 2.751
B 0.000 0.000 0.000
La -1.992 -1.740 0.113
La 0.080 0.080 2.645
La -1.742 1.994 -0.007
```

Computed properties:
The value obtained for the formation energy is 6.54 kJ per mole of atoms. The space group is Pm-3m. As for the total magnetization: 0.0 Bohr magnetons per cell. The calculated total energy comes out at -4.48 eV per atom. The volume is 29.7 Å³/atom.

No. 18
Compound: HfBeI3
Source: Alexandria via LeMat-Bulk
Functional: PBE
Structure: relaxed

extended XYZ file:
```
5
Lattice="5.697 0.000 0.000 0.000 5.697 0.000 0.000 0.000 5.697" Properties=species:S:1:pos:R:3 pbc="T T T"
I 0.000 2.848 0.000
I 0.000 0.000 2.848
I 2.848 0.000 0.000
Be 2.848 2.848 2.848
Hf 0.000 0.000 0.000
```

Computed properties:
The space group is Pm-3m. As for the total magnetization: 0.0 Bohr magnetons per cell. The calculated total energy comes out at -3.40 eV per atom. The volume is 37.0 Å³/atom. The value obtained for the energy relative to the elements, uncorrected is 0.264 eV per atom.

No. 19
Compound: MgTePd
Source: Alexandria via LeMat-Bulk
Functional: PBE
Structure: relaxed

extended XYZ file:
```
6
Lattice="-8.300 2.301 -1.092 -2.728 -0.001 3.734 -0.598 3.931 2.562" Properties=species:S:1:pos:R:3 pbc="T T T"
Mg -4.777 3.172 4.487
Mg -2.808 0.977 3.951
Te -8.498 4.248 1.979
Te -4.659 2.202 1.633
Pd -10.267 5.730 3.656
Pd -3.487 4.651 2.518
```

Computed properties:
The space group is C2/m. As for the total magnetization: 0.0 Bohr magnetons per cell. The calculated total energy comes out at -3.83 eV per atom. The volume is 24.1 Å³/atom. The value obtained for the energy relative to the elements, uncorrected is -0.519 eV per atom.